SrInGe3: single point on PBEsol structure, meta-GGA SCAN.

POSCAR file:
```
SrInGe3
1.0
5.524 0.000 0.000
0.000 5.524 0.000
0.000 0.000 5.524
Sr In Ge
1 1 3
direct
0.000 0.000 0.000
0.500 0.500 0.500
0.000 0.000 0.500
0.000 0.500 0.000
0.500 0.000 0.000
```

## Properties
DOS at the Fermi energy = 6.1 states/eV/f.u.
formation energy from the elements = 578.4 kJ/mol of formula units
calculated density = 4.14 g/cm³